(1)
This record from Alexandria describes a geometry-optimized NbIn3P structure. The functional is GGA-PBE.

Lattice parameters (Å, degrees): 5.4302 5.4302 5.4302 90.00 90.00 90.00
With the nearest neighbours (Å) after each atom.
Fractional coordinates of all 5 atoms:
Nb (0.0000, 0.0000, 0.0000)  6 In 2.72
In (0.0000, 0.0000, 0.5000)  2 Nb 2.72
In (0.0000, 0.5000, 0.0000)  2 Nb 2.72
P (0.5000, 0.5000, 0.5000)  12 In 3.84
In (0.5000, 0.0000, 0.0000)  2 Nb 2.72

Properties
E above lowest polymorph ... 0.141 eV/atom
E ... -3.65 eV/atom
E_form ... 1.087 eV/atom
Crystal system ... cubic

***

(2)
This record from Alexandria describes a geometry-optimized Ce3P4Rh4 structure. The functional is GGA-PBE.

Lattice parameters (Å, degrees): 4.0221 7.0360 7.8288 116.70 104.88 90.00
With the nearest neighbours (Å) after each atom.
Fractional coordinates of all 11 atoms:
Ce (0.8838, 0.8838, 0.7675)  6 P 2.98-2.99, 6 Rh 3.03-3.08, 1 Ce 3.11
P (0.2185, 0.7185, 0.4370)  6 Rh 2.50-2.52
P (0.7815, 0.2815, 0.5630)  6 Rh 2.50-2.52
Rh (0.3202, 0.5219, 0.6405)  4 P 2.47-2.52
Rh (0.6798, 0.4781, 0.3595)  4 P 2.47-2.52
Rh (0.6798, 0.8814, 0.3595)  4 P 2.47-2.52
P (0.5000, 0.7783, 0.0000)  2 Rh 2.47
Ce (0.0000, 0.5000, 0.0000)  6 P 2.81-2.93
Rh (0.3202, 0.1186, 0.6405)  4 P 2.47-2.52
P (0.5000, 0.2217, 0.0000)  2 Rh 2.47
Ce (0.1162, 0.1162, 0.2325)  6 P 2.98-2.99, 6 Rh 3.03-3.08, 1 Ce 3.11

Properties
E above lowest polymorph ... 0.054 eV/atom
E ... -7.42 eV/atom
E_form ... -1.165 eV/atom
Crystal system ... orthorhombic

***

(3)
This record from Alexandria describes a geometry-optimized FeAs2PbBr structure. The functional is GGA-PBE.

Lattice parameters (Å, degrees): 5.4338 5.4338 5.6071 90.00 90.00 90.00
With the nearest neighbours (Å) after each atom.
Fractional coordinates of all 5 atoms:
Fe (0.5000, 0.5000, 0.5000)  4 Br 3.84, 8 As 3.90
Pb (0.0000, 0.0000, 0.0000)  4 As 2.72, 2 Br 2.80
As (0.0000, 0.5000, 0.0000)  2 Pb 2.72
Br (0.0000, 0.0000, 0.5000)  2 Pb 2.80
As (0.5000, 0.0000, 0.0000)  2 Pb 2.72

Properties
E above lowest polymorph ... 1.074 eV/atom
E ... -3.38 eV/atom
Crystal system ... tetragonal

***

(4)
This record from Alexandria describes a geometry-optimized Sr2LiSn3Pd4 structure. The functional is GGA-PBE.

Lattice parameters (Å, degrees): 4.6595 4.6595 10.6590 90.00 90.00 90.00
With the nearest neighbours (Å) after each atom.
Fractional coordinates of all 10 atoms:
Sn (0.5000, 0.0000, 0.8751)  5 Pd 2.65-2.68
Sr (0.5000, 0.0000, 0.2475)  8 Pd 3.52-3.56, 6 Sn 3.54-3.56, 2 Li 3.56
Pd (0.5000, 0.0000, 0.6261)  3 Sn 2.65-2.69, 2 Li 2.69
Li (0.5000, 0.5000, 0.5000)  4 Pd 2.69
Pd (0.0000, 0.0000, 0.0000)  4 Sn 2.68
Pd (0.5000, 0.5000, 0.0000)  4 Sn 2.68
Sn (0.0000, 0.0000, 0.5000)  4 Pd 2.69
Sn (0.0000, 0.5000, 0.1249)  5 Pd 2.65-2.68
Sr (0.0000, 0.5000, 0.7525)  8 Pd 3.52-3.56, 6 Sn 3.54-3.56, 2 Li 3.56
Pd (0.0000, 0.5000, 0.3739)  3 Sn 2.65-2.69, 2 Li 2.69

Properties
E ... -4.51 eV/atom
E_form ... -0.702 eV/atom
Crystal system ... tetragonal

***

(5)
This record from Alexandria describes a geometry-optimized HfPaOs2 structure. The functional is GGA-PBE.

Lattice parameters (Å, degrees): 4.7580 4.7580 4.7580 60.00 60.00 60.00
With the nearest neighbours (Å) after each atom.
Fractional coordinates of all 4 atoms:
Pa (0.0000, 0.0000, 0.0000)  8 Os 2.91
Hf (0.5000, 0.5000, 0.5000)  8 Os 2.91
Os (0.7500, 0.7500, 0.7500)  4 Hf 2.91, 4 Pa 2.91
Os (0.2500, 0.2500, 0.2500)  4 Pa 2.91, 4 Hf 2.91

Properties
E above lowest polymorph ... 0.127 eV/atom
E ... -10.77 eV/atom
E_form ... -0.289 eV/atom
Crystal system ... cubic

***

(6)
This record from Alexandria describes a geometry-optimized K4ScPd3O8 structure. The functional is GGA-PBE.

Lattice parameters (Å, degrees): 6.2160 6.8220 7.3080 117.42 115.17 90.00
With the nearest neighbours (Å) after each atom.
Fractional coordinates of all 16 atoms:
Pd (0.5000, 0.5000, 0.5000)  4 O 2.02-2.09
Pd (0.5000, 0.5000, 0.0000)  6 O 2.06-2.14
K (0.5000, 0.0000, 0.0000)  4 O 2.60
K (0.5000, 0.0000, 0.5000)  6 O 2.55-2.83
O (0.6827, 0.6051, 0.3654)  3 Pd 2.09-2.14
O (0.8038, 0.3863, 0.6076)  2 Pd 2.02
K (0.0000, 0.0000, 0.0000)  4 O 2.62
O (0.2815, 0.7241, 0.0572)  1 Pd 2.06, 1 Sc 2.09
O (0.1962, 0.6137, 0.3924)  2 Pd 2.02
O (0.7757, 0.7241, 0.0572)  1 Pd 2.06, 1 Sc 2.09
O (0.7185, 0.2759, 0.9428)  1 Pd 2.06, 1 Sc 2.09
Pd (0.0000, 0.5000, 0.5000)  4 O 2.02-2.09
K (0.0000, 0.0000, 0.5000)  6 O 2.55-2.83
O (0.2243, 0.2759, 0.9428)  1 Pd 2.06, 1 Sc 2.09
O (0.3173, 0.3949, 0.6346)  3 Pd 2.09-2.14
Sc (0.0000, 0.5000, 0.0000)  6 O 2.09-2.30

Properties
E ... -5.39 eV/atom
Crystal system ... monoclinic

***

(7)
This record from Alexandria describes a geometry-optimized In2Pd8Pt structure. The functional is GGA-PBE.

Lattice parameters (Å, degrees): 4.0183 7.9416 7.3588 122.66 105.84 90.00
With the nearest neighbours (Å) after each atom.
Fractional coordinates of all 11 atoms:
Pd (0.0000, 0.2512, 0.0000)  2 In 2.73, 6 Pd 2.77-2.79, 2 Pt 2.83
In (0.1613, 0.6613, 0.3227)  10 Pd 2.73-2.88
Pd (0.6628, 0.9100, 0.3256)  1 Pt 2.77, 7 Pd 2.77-2.87, 3 In 2.81-2.88
Pd (0.3372, 0.5844, 0.6744)  1 Pt 2.77, 7 Pd 2.77-2.87, 3 In 2.81-2.88
Pt (0.5000, 0.0000, 0.0000)  12 Pd 2.77-2.83
Pd (0.1665, 0.1665, 0.3329)  8 Pd 2.79-2.84, 2 Pt 2.80, 2 In 2.85
Pd (0.6628, 0.4156, 0.3256)  1 Pt 2.77, 7 Pd 2.77-2.87, 3 In 2.81-2.88
Pd (0.3372, 0.0900, 0.6744)  1 Pt 2.77, 7 Pd 2.77-2.87, 3 In 2.81-2.88
In (0.8387, 0.3387, 0.6773)  10 Pd 2.73-2.88
Pd (0.0000, 0.7488, 0.0000)  2 In 2.73, 6 Pd 2.77-2.79, 2 Pt 2.83
Pd (0.8335, 0.8335, 0.6671)  8 Pd 2.79-2.84, 2 Pt 2.80, 2 In 2.85

Properties
E above lowest polymorph ... 0.032 eV/atom
E ... -5.08 eV/atom
E_form ... -0.260 eV/atom
Crystal system ... orthorhombic

***

(8)
This record from Alexandria describes a geometry-optimized KZn2Sn2Au6 structure. The functional is GGA-PBE.

Lattice parameters (Å, degrees): 6.8727 9.6431 8.2179 137.53 90.03 69.11
With the nearest neighbours (Å) after each atom.
Fractional coordinates of all 11 atoms:
Zn (0.8829, 0.2341, 0.7764)  6 Au 2.59-2.73, 1 Zn 2.86
Sn (0.8590, 0.2824, 0.1726)  4 Au 2.70-2.82, 1 Zn 2.92
Sn (0.1410, 0.7176, 0.8274)  4 Au 2.70-2.82, 1 Zn 2.92
Au (0.0663, 0.4539, 0.1352)  2 Zn 2.69-2.73, 1 Sn 2.70, 3 Au 2.84-2.98
Au (0.5200, 0.5460, 0.8647)  2 Zn 2.69-2.73, 1 Sn 2.70, 3 Au 2.84-2.98
Au (0.4800, 0.4540, 0.1353)  2 Zn 2.69-2.73, 1 Sn 2.70, 3 Au 2.84-2.98
Zn (0.1171, 0.7659, 0.2236)  6 Au 2.59-2.73, 1 Zn 2.86
Au (0.9337, 0.5461, 0.8648)  2 Zn 2.69-2.73, 1 Sn 2.70, 3 Au 2.84-2.98
Au (0.0769, 0.8465, 0.6179)  2 Zn 2.59-2.70, 2 Sn 2.73-2.82, 2 Au 2.85
Au (0.9231, 0.1535, 0.3821)  2 Zn 2.59-2.70, 2 Sn 2.73-2.82, 2 Au 2.85
K (0.5000, 0.0000, 0.5000)  8 Au 3.51-3.74, 4 Zn 3.72

Properties
E ... -3.00 eV/atom
E_form ... -0.148 eV/atom
Crystal system ... monoclinic

***

(9)
This record from Alexandria describes a geometry-optimized VCrTcIr structure. The functional is GGA-PBE.

Lattice parameters (Å, degrees): 4.2785 4.2785 4.2785 60.00 60.00 60.00
With the nearest neighbours (Å) after each atom.
Fractional coordinates of all 4 atoms:
Ir (0.5000, 0.5000, 0.5000)  4 Cr 2.62, 4 V 2.62
V (0.2500, 0.2500, 0.2500)  4 Ir 2.62, 4 Tc 2.62
Tc (0.0000, 0.0000, 0.0000)  4 Cr 2.62, 4 V 2.62
Cr (0.7500, 0.7500, 0.7500)  4 Ir 2.62, 4 Tc 2.62

Properties
E ... -9.67 eV/atom
E_form ... -0.176 eV/atom
Crystal system ... cubic

***

(10)
This record from Alexandria describes a geometry-optimized BaTlP2Au structure. The functional is GGA-PBE.

Lattice parameters (Å, degrees): 5.1262 5.3900 5.1262 90.00 90.00 90.00
With the nearest neighbours (Å) after each atom.
Fractional coordinates of all 5 atoms:
P (0.0000, 0.0000, 0.5000)  2 Au 2.56
Au (0.0000, 0.0000, 0.0000)  4 P 2.56, 2 Tl 2.69
Tl (0.0000, 0.5000, 0.0000)  2 Au 2.69
Ba (0.5000, 0.5000, 0.5000)  4 Tl 3.62, 8 P 3.72
P (0.5000, 0.0000, 0.0000)  2 Au 2.56

Properties
E ... -3.61 eV/atom
E_form ... 0.069 eV/atom
Crystal system ... tetragonal

***

(11)
This record from Alexandria describes a geometry-optimized CsKF2 structure. The functional is GGA-PBE.

Lattice parameters (Å, degrees): 4.0667 4.0667 7.0753 89.99 106.70 120.01
With the nearest neighbours (Å) after each atom.
Fractional coordinates of all 4 atoms:
F (0.5184, 0.2592, 0.7777)  3 K 2.78, 3 Cs 2.99
K (0.0000, 0.0000, 0.0000)  6 F 2.78
Cs (0.0000, 0.5000, 0.5000)  6 F 2.99
F (0.4816, 0.7408, 0.2224)  3 K 2.78, 3 Cs 2.99

Properties
E above lowest polymorph ... 0.000 eV/atom
E ... -4.09 eV/atom
Crystal system ... trigonal

***

(12)
This record from Alexandria describes a geometry-optimized MoPt2Br structure. The functional is GGA-PBE.

Lattice parameters (Å, degrees): 6.5466 6.5466 6.3999 59.24 59.24 90.00
With the nearest neighbours (Å) after each atom.
Fractional coordinates of all 8 atoms:
Mo (0.7500, 0.2500, 0.5000)  4 Pt 2.43
Mo (0.0000, 0.0000, 0.0000)  4 Pt 2.43
Pt (0.8750, 0.9095, 0.7500)  2 Mo 2.43, 2 Br 2.71
Br (0.5000, 0.5000, 0.0000)  4 Pt 2.71
Pt (0.3750, 0.3405, 0.7500)  2 Mo 2.43, 2 Br 2.71
Br (0.2500, 0.7500, 0.5000)  4 Pt 2.71
Pt (0.0905, 0.6250, 0.2500)  2 Mo 2.43, 2 Br 2.71
Pt (0.6595, 0.1250, 0.2500)  2 Mo 2.43, 2 Br 2.71

Properties
E above lowest polymorph ... 0.557 eV/atom
E ... -5.54 eV/atom
Crystal system ... tetragonal